Below is a relaxed structure of CoSb3, with properties calculated at the GGA-PBE level.

Volume: 22.89 Å³/atom
Formation energy without anion corrections: 0.12 eV/atom

a = 6.6392 Å, b = 3.3944 Å, c = 8.2649 Å
α = 90.00°, β = 100.59°, γ = 90.00°
With the nearest neighbours (Å) after each atom.
Space group C2/m (No. 12)
Symmetry-distinct sites (fractional):
Co (0.0000, 0.0000, 0.0000) x2  6 Sb 2.55-2.58
Sb (0.0000, 0.5000, 0.5000) x2  8 Sb 3.25-3.39
Sb (0.2226, 0.5000, 0.1809) x4  3 Co 2.55-2.58